No. 1
The following is a DFT calculation (PBE-GGA) of La8Tb2Tl after structural relaxation.

Cell and atoms, written as POSCAR:
```
La8Tb2Tl
1.0
5.645 0.000 0.000
0.000 8.258 0.031
-2.823 -3.524 8.351
La Tb Tl
8 2 1
direct
0.392 0.563 0.784 La
0.667 0.911 0.335 La
0.826 0.783 0.652 La
0.985 0.248 0.970 La
0.174 0.217 0.348 La
0.333 0.089 0.665 La
0.608 0.437 0.216 La
0.015 0.752 0.030 La
0.805 0.345 0.610 Tb
0.195 0.655 0.390 Tb
0.500 0.000 0.000 Tl
```

Properties
M_tot ... 0.00 μB per atom
DOS at the Fermi energy ... 1.56 states/eV/atom
DFT formation energy ... -0.047 eV per formula unit
Energy above the lowest structure with this stoichiometry ... 0.0 kJ/mol of atoms

No. 2
The following is a DFT calculation (PBE-GGA) of LaTbTl6 after structural relaxation.

Cell and atoms, written as POSCAR:
```
LaTbTl6
1.0
4.837 0.000 0.000
0.000 4.837 0.000
0.000 0.000 9.646
La Tb Tl
1 1 6
direct
0.000 0.000 0.000 La
0.000 0.000 0.500 Tb
0.500 0.500 0.000 Tl
0.500 0.500 0.500 Tl
0.500 0.000 0.256 Tl
0.500 0.000 0.744 Tl
0.000 0.500 0.256 Tl
0.000 0.500 0.744 Tl
```

Properties
M_tot ... 0.00 μB per atom
DOS at the Fermi energy ... 0.32 states/eV/atom
DFT formation energy ... -2.449 eV per formula unit

No. 3
The following is a DFT calculation (PBE-GGA) of LaTb7Tl2 after structural relaxation.

Cell and atoms, written as POSCAR:
```
LaTb7Tl2
1.0
-4.955 0.830 2.428
-2.715 -8.036 -2.793
3.998 0.561 7.966
La Tb Tl
1 7 2
direct
0.000 0.000 0.000 La
0.000 0.765 0.235 Tb
0.000 0.235 0.765 Tb
0.500 0.058 0.303 Tb
0.500 0.942 0.697 Tb
0.500 0.303 0.058 Tb
0.500 0.697 0.942 Tb
0.500 0.500 0.500 Tb
0.500 0.696 0.304 Tl
0.500 0.304 0.696 Tl
```

Properties
M_tot ... 0.21 μB per atom
DOS at the Fermi energy ... 1.98 states/eV/atom
DFT formation energy ... 3.515 eV per formula unit

No. 4
The following is a DFT calculation (PBE-GGA) of LaTb3Tl2 after structural relaxation.

Cell and atoms, written as POSCAR:
```
LaTb3Tl2
1.0
5.450 0.000 0.000
-2.725 8.996 -0.823
0.000 -4.817 8.025
La Tb Tl
2 6 4
direct
0.868 0.737 0.911 La
0.132 0.263 0.089 La
0.306 0.612 0.605 Tb
0.939 0.878 0.592 Tb
0.616 0.231 0.693 Tb
0.384 0.769 0.307 Tb
0.061 0.122 0.408 Tb
0.694 0.388 0.395 Tb
0.515 0.031 0.860 Tl
0.485 0.969 0.140 Tl
0.777 0.555 0.150 Tl
0.223 0.445 0.850 Tl
```

Properties
M_tot ... 0.04 μB per atom
DOS at the Fermi energy ... 1.15 states/eV/atom
DFT formation energy ... -1.153 eV per formula unit

No. 5
The following is a DFT calculation (PBE-GGA) of LaTb2Tl2 after structural relaxation.

Cell and atoms, written as POSCAR:
```
LaTb2Tl2
1.0
-4.045 5.532 1.893
-7.296 4.449 -1.889
-6.501 -2.307 6.254
La Tb Tl
2 4 4
direct
0.835 0.750 0.325 La
0.165 0.250 0.675 La
0.482 0.749 0.035 Tb
0.703 0.250 0.599 Tb
0.518 0.251 0.965 Tb
0.297 0.750 0.401 Tb
0.655 0.250 0.249 Tl
0.907 0.750 0.755 Tl
0.093 0.250 0.245 Tl
0.345 0.750 0.751 Tl
```

Properties
M_tot ... 0.00 μB per atom
DOS at the Fermi energy ... 1.04 states/eV/atom
DFT formation energy ... -0.932 eV per formula unit
Energy above the lowest structure with this stoichiometry ... 0.0 kJ/mol of atoms

No. 6
The following is a DFT calculation (PBE-GGA) of LaTb7Tl4 after structural relaxation.

Cell and atoms, written as POSCAR:
```
LaTb7Tl4
1.0
-3.216 4.148 -2.379
-6.633 -4.088 -5.141
-6.788 0.991 3.924
La Tb Tl
1 7 4
direct
0.000 0.000 0.000 La
0.792 0.878 0.537 Tb
0.208 0.122 0.463 Tb
0.063 0.602 0.272 Tb
0.937 0.398 0.728 Tb
0.276 0.662 0.786 Tb
0.500 0.000 0.000 Tb
0.724 0.338 0.214 Tb
0.561 0.249 0.630 Tl
0.439 0.751 0.370 Tl
0.686 0.668 0.961 Tl
0.314 0.332 0.039 Tl
```

Properties
M_tot ... 0.00 μB per atom
DOS at the Fermi energy ... 1.12 states/eV/atom
DFT formation energy ... -0.435 eV per formula unit

No. 7
The following is a DFT calculation (PBE-GGA) of LaTb2Tl after structural relaxation.

Cell and atoms, written as POSCAR:
```
LaTb2Tl
1.0
3.498 0.000 0.000
0.000 5.681 1.675
0.000 2.033 13.988
La Tb Tl
2 4 2
direct
0.250 0.073 0.675 La
0.750 0.927 0.325 La
0.750 0.203 0.046 Tb
0.250 0.443 0.807 Tb
0.750 0.557 0.193 Tb
0.250 0.797 0.954 Tb
0.250 0.695 0.553 Tl
0.750 0.305 0.447 Tl
```

Properties
M_tot ... 0.00 μB per atom
DOS at the Fermi energy ... 1.35 states/eV/atom
DFT formation energy ... 0.405 eV per formula unit
Energy above the lowest structure with this stoichiometry ... 27.9 kJ/mol of atoms

No. 8
The following is a DFT calculation (PBE-GGA) of LaTb4Tl2 after structural relaxation.

Cell and atoms, written as POSCAR:
```
LaTb4Tl2
1.0
10.811 0.000 0.000
0.000 6.270 -2.901
0.000 -0.599 6.931
Tl Tb La
4 8 2
direct
0.000 0.717 0.434 Tl
0.000 0.283 0.566 Tl
0.500 0.783 0.566 Tl
0.500 0.217 0.434 Tl
0.830 0.500 0.000 Tb
0.750 0.500 0.500 Tb
0.750 0.000 0.500 Tb
0.670 0.000 0.000 Tb
0.330 0.000 0.000 Tb
0.250 0.000 0.500 Tb
0.250 0.500 0.500 Tb
0.170 0.500 0.000 Tb
0.000 0.000 0.000 La
0.500 0.500 0.000 La
```

Properties
M_tot ... 0.00 μB per atom
DOS at the Fermi energy ... 1.48 states/eV/atom
DFT formation energy ... -0.658 eV per formula unit
Energy above the lowest structure with this stoichiometry ... 4.7 kJ/mol of atoms

No. 9
The following is a DFT calculation (PBE-GGA) of La2TbTl2 after structural relaxation.

Cell and atoms, written as POSCAR:
```
La2TbTl2
1.0
4.767 0.000 0.000
0.000 8.299 0.000
0.000 0.000 8.299
La Tb Tl
4 2 4
direct
0.500 0.169 0.669 La
0.500 0.669 0.831 La
0.500 0.831 0.331 La
0.500 0.331 0.169 La
0.000 0.000 0.000 Tb
0.000 0.500 0.500 Tb
0.000 0.369 0.869 Tl
0.000 0.869 0.631 Tl
0.000 0.631 0.131 Tl
0.000 0.131 0.369 Tl
```

Properties
M_tot ... 0.00 μB per atom
DOS at the Fermi energy ... 1.48 states/eV/atom
DFT formation energy ... -1.662 eV per formula unit
Energy above the lowest structure with this stoichiometry ... 0.0 kJ/mol of atoms

No. 10
The following is a DFT calculation (PBE-GGA) of LaTb6Tl3 after structural relaxation.

Cell and atoms, written as POSCAR:
```
LaTb6Tl3
1.0
-0.166 -5.264 -0.331
8.058 -0.635 6.076
-8.596 -0.205 7.565
La Tb Tl
2 12 6
direct
0.250 0.956 0.595 La
0.750 0.044 0.405 La
0.250 0.446 0.094 Tb
0.750 0.554 0.906 Tb
0.250 0.134 0.222 Tb
0.750 0.866 0.778 Tb
0.250 0.642 0.687 Tb
0.750 0.358 0.313 Tb
0.250 0.277 0.518 Tb
0.750 0.723 0.482 Tb
0.250 0.811 0.276 Tb
0.750 0.189 0.724 Tb
0.250 0.080 0.909 Tb
0.750 0.920 0.091 Tb
0.250 0.539 0.390 Tl
0.750 0.461 0.610 Tl
0.250 0.364 0.809 Tl
0.750 0.636 0.191 Tl
0.250 0.766 0.967 Tl
0.750 0.234 0.033 Tl
```

Properties
M_tot ... 0.00 μB per atom
DOS at the Fermi energy ... 1.23 states/eV/atom
DFT formation energy ... -1.960 eV per formula unit
Energy above the lowest structure with this stoichiometry ... 0.0 kJ/mol of atoms